4
Lattice="5.166 0.061 -0.018 4.369 4.567 -0.033 1.045 0.195 3.094" Properties=species:S:1:pos:R:3 comment="PBE SbOs, optimized geometry" raw_formation_energy_ev_per_fu=1.137 total_magnetization_mub_per_cell=0.000 pbc="T T T"
Os 1.232 0.218 3.030
Os 7.880 2.844 2.349
Sb 5.284 2.399 1.524
Sb 2.783 0.468 0.760